GGA-PBE Hf3Al2Zn4, optimized geometry; calculated total energy = -5.03 eV/atom; SG = C2/m, No. 12; energy relative to the elements = -2.85 eV per formula unit
1.0
4.904 -2.175 0.000
4.904 2.175 0.000
-3.747 0.000 7.243
Hf Al Zn
3 2 4
direct
0.000 0.000 0.000 Hf
0.334 0.334 0.333 Hf
0.666 0.666 0.667 Hf
0.389 0.389 0.723 Al
0.611 0.611 0.277 Al
0.058 0.058 0.393 Zn
0.281 0.281 0.950 Zn
0.719 0.719 0.050 Zn
0.942 0.942 0.607 Zn

=====

GGA-PBE Hf2AlZn4, optimized geometry; calculated total energy = -3.62 eV/atom; SG = I4/mmm, No. 139; energy relative to the elements = 3.39 eV per formula unit
1.0
-2.301 2.301 6.866
2.301 -2.301 6.866
2.301 2.301 -6.866
Hf Al Zn
2 1 4
direct
0.114 0.114 0.000 Hf
0.886 0.886 0.000 Hf
0.500 0.500 0.000 Al
0.000 0.500 0.500 Zn
0.314 0.314 0.000 Zn
0.500 0.000 0.500 Zn
0.686 0.686 0.000 Zn

=====

> Which of these has the highest energy relative to the elements?

Hf2AlZn4

=====

> Which of these has the lowest calculated total energy?

Hf3Al2Zn4

=====

> The highest calculated total energy belongs to which entry?

Hf2AlZn4

=====

Copy entry 2 word for word.
GGA-PBE Hf2AlZn4, optimized geometry; calculated total energy = -3.62 eV/atom; SG = I4/mmm, No. 139; energy relative to the elements = 3.39 eV per formula unit
1.0
-2.301 2.301 6.866
2.301 -2.301 6.866
2.301 2.301 -6.866
Hf Al Zn
2 1 4
direct
0.114 0.114 0.000 Hf
0.886 0.886 0.000 Hf
0.500 0.500 0.000 Al
0.000 0.500 0.500 Zn
0.314 0.314 0.000 Zn
0.500 0.000 0.500 Zn
0.686 0.686 0.000 Zn